First-principles (PBE) data for a relaxed structure of LaY2Ru, as listed in Alexandria via LeMat-Bulk.

a = 6.497 Å, b = 7.297 Å, c = 9.537 Å
α = 90.00°, β = 90.00°, γ = 90.00°
Element x y z (fractional)
La  0.635  0.552  0.250
La  0.865  0.052  0.250
La  0.365  0.448  0.750
La  0.135  0.948  0.750
Y  0.170  0.672  0.067
Y  0.330  0.172  0.433
Y  0.830  0.328  0.567
Y  0.670  0.828  0.933
Y  0.830  0.328  0.933
Y  0.670  0.828  0.567
Y  0.170  0.672  0.433
Y  0.330  0.172  0.067
Ru  0.035  0.375  0.250
Ru  0.465  0.875  0.250
Ru  0.965  0.625  0.750
Ru  0.535  0.125  0.750

space-group type: No. 62
mass density: 6.14 g/cm³
energy relative to the elements: -0.290 eV per atom